(1)
Here is a geometry-optimized Na2SrSiO4 structure from Alexandria. Energies are from GGA-PBE.

POSCAR file:
```
Na2SrSiO4
1.0
5.810 -0.615 -0.943
-3.032 4.994 0.943
-3.032 -1.147 4.951
Na Sr Si O
2 1 1 4
direct
0.500 0.750 0.250
0.000 0.000 0.000
0.500 0.250 0.750
0.000 0.500 0.500
0.625 0.421 0.406
0.985 0.204 0.579
0.015 0.594 0.219
0.375 0.781 0.796
```

## Properties
Density   3001 kg/m3
Space-group type   I-4 (82)
Uncorrected formation energy   -2.4175 eV per atom

(2)
Here is a geometry-optimized Na2SrSi2O6 structure from Alexandria. Energies are from GGA-PBE.

POSCAR file:
```
Na2SrSi2O6
1.0
7.749 -0.019 0.010
0.067 7.748 0.010
0.223 0.221 7.739
Na Sr Si O
6 3 6 18
direct
0.500 0.500 0.000
0.500 0.000 0.500
0.000 0.500 0.500
0.000 0.000 0.500
0.249 0.249 0.267
0.751 0.751 0.733
0.000 0.000 0.000
0.000 0.500 0.000
0.500 0.000 0.000
0.259 0.714 0.709
0.714 0.714 0.270
0.714 0.259 0.709
0.741 0.286 0.291
0.286 0.286 0.730
0.286 0.741 0.291
0.078 0.770 0.801
0.777 0.777 0.076
0.770 0.078 0.801
0.922 0.230 0.199
0.223 0.223 0.924
0.230 0.922 0.199
0.240 0.760 0.500
0.746 0.501 0.268
0.499 0.254 0.732
0.254 0.499 0.732
0.501 0.746 0.268
0.760 0.240 0.500
0.438 0.787 0.779
0.795 0.795 0.437
0.787 0.438 0.779
0.562 0.213 0.221
0.205 0.205 0.563
0.213 0.562 0.221
```

## Properties
Density   3064 kg/m3
Space-group type   C2/m (12)
Uncorrected formation energy   -2.6212 eV per atom

(3)
Here is a geometry-optimized NaTaSiO5 structure from Alexandria. Energies are from GGA-PBE.

POSCAR file:
```
NaTaSiO5
1.0
5.570 0.195 -0.093
-1.440 5.384 -0.093
-1.831 -2.474 6.785
Na Ta Si O
2 2 2 10
direct
0.328 0.672 0.250
0.672 0.328 0.750
0.000 0.000 0.500
0.000 0.000 0.000
0.678 0.322 0.250
0.322 0.678 0.750
0.069 0.931 0.250
0.931 0.069 0.750
0.868 0.294 0.115
0.132 0.706 0.885
0.706 0.132 0.385
0.294 0.868 0.615
0.754 0.631 0.394
0.246 0.369 0.606
0.369 0.246 0.106
0.631 0.754 0.894
```

## Properties
Density   5107 kg/m3
Space-group type   C2/c (15)
Uncorrected formation energy   -2.7222 eV per atom

(4)
Here is a geometry-optimized NaTbSi2O6 structure from Alexandria. Energies are from GGA-PBE.

POSCAR file:
```
NaTbSi2O6
1.0
-5.078 4.160 1.075
-1.954 -5.898 -2.375
0.941 -1.883 6.340
Na Tb Si O
2 2 4 12
direct
0.039 0.961 0.250
0.961 0.039 0.750
0.588 0.412 0.250
0.412 0.588 0.750
0.490 0.168 0.628
0.832 0.510 0.872
0.510 0.832 0.372
0.168 0.490 0.128
0.938 0.528 0.154
0.472 0.062 0.346
0.062 0.472 0.846
0.528 0.938 0.654
0.206 0.262 0.100
0.738 0.794 0.400
0.794 0.738 0.900
0.262 0.206 0.600
0.299 0.591 0.400
0.409 0.701 0.100
0.701 0.409 0.600
0.591 0.299 0.900
```

## Properties
Density   4191 kg/m3
Space-group type   C2/c (15)
Uncorrected formation energy   -2.7478 eV per atom